1.
Li2CaMgGa: optimized geometry, PBE-GGA.

Lattice parameters (Å, degrees): 4.992 4.992 5.069 90.00 90.00 90.00
Fractional positions:
Li 0.500 0.000 0.000
Li 0.000 0.500 0.000
Ca 0.500 0.500 0.500
Mg 0.000 0.000 0.500
Ga 0.000 0.000 0.000

Results
The value obtained for the theoretical density is 1.95 g cm⁻³. Its density of states at the Fermi level is 1.80 states/eV/f.u. The spin magnetization is 0.0 μB per cell. The space group is P4/mmm.

2.
Li2CaMgGa: optimized geometry, PBE-GGA.

Lattice parameters (Å, degrees): 5.048 5.612 5.048 90.00 90.00 90.00
Fractional positions:
Ca 0.000 0.500 0.000
Li 0.500 0.000 0.000
Li 0.000 0.000 0.500
Mg 0.500 0.500 0.500
Ga 0.000 0.000 0.000

Results
The value obtained for the theoretical density is 1.72 g cm⁻³. Its density of states at the Fermi level is 3.52 states/eV/f.u. The spin magnetization is 0.0 μB per cell. The space group is P4/mmm.

Bottom line: 1, by a margin of 0.151 eV/atom.